Compound: In3HgRh
Source: the Alexandria database
Functional: SCAN
Structure: single point on PBEsol structure

The formation energy is -1.20 eV/f.u. Its space group is Pm-3m, No. 221.

```
In3HgRh
1.0
5.082 0.000 0.000
0.000 5.082 0.000
0.000 0.000 5.082
In Hg Rh
3 1 1
direct
0.000 0.000 0.500
0.000 0.500 0.000
0.500 0.000 0.000
0.500 0.500 0.500
0.000 0.000 0.000
```